Entry 1:
First-principles (PBE) data for a relaxed YCu2H crystal, as listed in the Alexandria database.

The electronic total energy is -4.475 eV/atom. The calculation puts the density of states at the Fermi level at 0.5860 states/eV/atom. For the volume, the calculation gives 14.3 Å³/atom. The calculation puts the energy above the most stable polymorph in this dataset at 0.0 kJ/mol of atoms.

The space group is I4_1/amd (No. 141, origin choice 2) and the conventional cell measures 5.4620, 5.4620 and 7.6848 Å, with angles of 90.00, 90.00 and 90.00 degrees. The asymmetric unit holds Y at (0.0000, 0.2500, 0.3750), Cu at (0.0000, 0.0000, 0.0000) and H at (0.0000, 0.2500, 0.8750).

Entry 2:
First-principles (PBE) data for a relaxed SmBeZn11 crystal, as listed in the Alexandria database.

For the energy of formation, the calculation gives -0.17 eV/atom. The electronic total energy is -1.894 eV/atom. The calculation puts the density of states at the Fermi level at 0.1090 states/eV/atom. For the volume, the calculation gives 15.4 Å³/atom.

The space group is C2/m (No. 12) and the conventional cell measures 5.2087, 12.3790 and 6.6926 Å, with angles of 90.00, 112.25 and 90.00 degrees. The asymmetric unit holds Sm at (0.0000, 0.0000, 0.0000), Be at (0.0000, 0.5000, 0.5000), Zn at (0.0000, 0.0000, 0.5000), Zn at (0.1018, 0.3927, 0.2244), Zn at (0.1904, 0.1737, 0.3580) and Zn at (0.2500, 0.2500, 0.0000).

Entry 3:
First-principles (PBE) data for a relaxed Pr3Al crystal, as listed in the Alexandria database.

For the energy of formation, the calculation gives 0.09 eV/atom. The electronic total energy is -4.433 eV/atom. The calculation puts the density of states at the Fermi level at 1.1286 states/eV/atom. For the volume, the calculation gives 33.1 Å³/atom. The calculation puts the energy above the most stable polymorph in this dataset at 25.0 kJ/mol of atoms.

The space group is Pmm2 (No. 25) and the conventional cell measures 3.4824, 3.5540 and 10.6858 Å, with angles of 90.00, 90.00 and 90.00 degrees. The asymmetric unit holds Pr at (0.0000, 0.0000, 0.0000), Pr at (0.0000, 0.5000, 0.4322), Pr at (0.5000, 0.5000, 0.7379) and Al at (0.5000, 0.0000, 0.2474).

- Look up the electronic total energy of the first one.
  -4.475 eV/atom

- Which formula does entry 1 have?
  YCu2H

- Number 1 is which compound?
  YCu2H